1.
Here is crystalline ZnNiHg2 at its relaxed geometry from Alexandria via LeMat-Bulk. Energies are from PBE.

Cell lengths 5.208, 5.208, 5.208 Å; angles 135.05, 135.05, 65.45 degrees
Atoms (fractional coordinates):
Zn (0.750, 0.250, 0.500)
Hg (0.000, 0.000, 0.000)
Hg (0.250, 0.750, 0.500)
Ni (0.500, 0.500, 0.000)

raw total energy = -6.82 eV/cell
DOS(E_F) = 0.407 states/eV/atom
symmetry = No. 119
formation energy from the elements = 0.210 eV/atom

2.
Here is crystalline NdMgGa at its relaxed geometry from Alexandria via LeMat-Bulk. Energies are from PBE.

Cell lengths 4.805, 4.816, 8.651 Å; angles 106.00, 90.00, 119.92 degrees
Atoms (fractional coordinates):
Mg (0.370, 0.740, 0.607)
Mg (0.630, 0.260, 0.393)
Ga (0.254, 0.508, 0.267)
Ga (0.746, 0.492, 0.733)
Nd (0.119, 0.238, 0.855)
Nd (0.881, 0.762, 0.145)

raw total energy = -20.12 eV/cell
DOS(E_F) = 0.547 states/eV/atom
symmetry = No. 12
formation energy from the elements = -0.223 eV/atom

3.
Here is crystalline Li2ScSi at its relaxed geometry from Alexandria via LeMat-Bulk. Energies are from PBE.

Cell lengths 4.529, 4.529, 4.529 Å; angles 120.00, 119.96, 90.03 degrees
Atoms (fractional coordinates):
Li (0.000, 0.000, 0.000)
Li (0.750, 0.250, 0.500)
Si (0.250, 0.750, 0.500)
Sc (0.500, 0.500, 0.000)

raw total energy = -16.90 eV/cell
DOS(E_F) = 0.597 states/eV/atom
symmetry = No. 216
ΔE_f (raw) = -0.3283 eV per atom

4.
Here is crystalline Th4P3PtRh12 at its relaxed geometry from Alexandria via LeMat-Bulk. Energies are from PBE.

Cell lengths 7.914, 7.914, 7.914 Å; angles 109.47, 109.47, 109.47 degrees
Atoms (fractional coordinates):
Rh (0.730, 0.730, 0.000)
Rh (0.500, 0.750, 0.250)
Rh (0.750, 0.500, 0.250)
Rh (0.750, 0.250, 0.500)
Rh (0.000, 0.730, 0.730)
Rh (0.500, 0.250, 0.750)
Rh (0.250, 0.750, 0.500)
Rh (0.270, 0.270, 0.000)
Rh (0.270, 0.000, 0.270)
Rh (0.250, 0.500, 0.750)
Rh (0.000, 0.270, 0.270)
Rh (0.730, 0.000, 0.730)
Th (0.000, 0.000, 0.500)
Th (0.500, 0.500, 0.500)
Th (0.000, 0.500, 0.000)
Th (0.500, 0.000, 0.000)
P (0.500, 0.500, 0.000)
P (0.000, 0.500, 0.500)
P (0.500, 0.000, 0.500)
Pt (0.000, 0.000, 0.000)

raw total energy = -150.60 eV/cell
DOS(E_F) = 1.005 states/eV/atom
symmetry = No. 229
formation energy from the elements = -0.521 eV/atom